Entry 1:
# Pu2Si3Pt4Au, relaxed, DFT GGA-PBE
data_Pu2Si3Pt4Au
_cell_length_a 4.068
_cell_length_b 4.068
_cell_length_c 11.097
_cell_angle_alpha 90.00
_cell_angle_beta 90.00
_cell_angle_gamma 90.00
_symmetry_space_group_name_H-M 'P 1'
_symmetry_Int_Tables_number 1
loop_
_symmetry_equiv_pos_as_xyz
'x,y,z'
loop_
_atom_site_label
_atom_site_type_symbol
_atom_site_fract_x
_atom_site_fract_y
_atom_site_fract_z
Pu1 Pu 0.000 0.500 0.248
Pu2 Pu 0.500 0.000 0.752
Si1 Si 0.000 0.000 0.000
Si2 Si 0.000 0.500 0.625
Si3 Si 0.500 0.000 0.375
Pt1 Pt 0.000 0.000 0.500
Pt2 Pt 0.000 0.500 0.835
Pt3 Pt 0.500 0.000 0.165
Pt4 Pt 0.500 0.500 0.500
Au1 Au 0.500 0.500 0.000
# - calculated total energy (eV per atom) = -7.98
# - density of states at the Fermi level (states/eV/f.u.) = 23.90
# - space-group type = P-4m2, No. 115


Entry 2:
# PuSnPtAu, relaxed, DFT GGA-PBE
data_PuSnPtAu
_cell_length_a 4.940
_cell_length_b 4.940
_cell_length_c 4.940
_cell_angle_alpha 60.00
_cell_angle_beta 60.00
_cell_angle_gamma 60.00
_symmetry_space_group_name_H-M 'P 1'
_symmetry_Int_Tables_number 1
loop_
_symmetry_equiv_pos_as_xyz
'x,y,z'
loop_
_atom_site_label
_atom_site_type_symbol
_atom_site_fract_x
_atom_site_fract_y
_atom_site_fract_z
Pu1 Pu 0.000 0.000 0.000
Sn1 Sn 0.500 0.500 0.500
Pt1 Pt 0.250 0.250 0.250
Au1 Au 0.750 0.750 0.750
# - density of states at the Fermi level (states/eV/f.u.) = 12.67
# - E_form (eV/atom) = -0.496
# - space-group type = F-43m, No. 216


Entry 3:
# SrPuPtAu, relaxed, DFT GGA-PBE
data_SrPuPtAu
_cell_length_a 5.176
_cell_length_b 5.176
_cell_length_c 5.176
_cell_angle_alpha 60.00
_cell_angle_beta 60.00
_cell_angle_gamma 60.00
_symmetry_space_group_name_H-M 'P 1'
_symmetry_Int_Tables_number 1
loop_
_symmetry_equiv_pos_as_xyz
'x,y,z'
loop_
_atom_site_label
_atom_site_type_symbol
_atom_site_fract_x
_atom_site_fract_y
_atom_site_fract_z
Sr1 Sr 0.000 0.000 0.000
Pu1 Pu 0.500 0.500 0.500
Pt1 Pt 0.250 0.250 0.250
Au1 Au 0.750 0.750 0.750
# - density of states at the Fermi level (states/eV/f.u.) = 14.54
# - E_form (eV/atom) = -0.575
# - space-group type = F-43m, No. 216


Entry 4:
# Pu4TlPtAu2, relaxed, DFT GGA-PBE
data_Pu4TlPtAu2
_cell_length_a 15.409
_cell_length_b 15.409
_cell_length_c 15.409
_cell_angle_alpha 13.63
_cell_angle_beta 13.63
_cell_angle_gamma 13.63
_symmetry_space_group_name_H-M 'P 1'
_symmetry_Int_Tables_number 1
loop_
_symmetry_equiv_pos_as_xyz
'x,y,z'
loop_
_atom_site_label
_atom_site_type_symbol
_atom_site_fract_x
_atom_site_fract_y
_atom_site_fract_z
Pu1 Pu 0.071 0.071 0.071
Pu2 Pu 0.375 0.375 0.375
Pu3 Pu 0.625 0.625 0.625
Pu4 Pu 0.929 0.929 0.929
Tl1 Tl 0.500 0.500 0.500
Pt1 Pt 0.000 0.000 0.000
Au1 Au 0.214 0.214 0.214
Au2 Au 0.786 0.786 0.786
# - density of states at the Fermi level (states/eV/f.u.) = 20.87
# - E_form (eV/atom) = -0.105
# - space-group type = R-3m, No. 166


Entry 5:
# TmPuPtAu, relaxed, DFT GGA-PBE
data_TmPuPtAu
_cell_length_a 5.009
_cell_length_b 5.009
_cell_length_c 5.009
_cell_angle_alpha 60.00
_cell_angle_beta 60.00
_cell_angle_gamma 60.00
_symmetry_space_group_name_H-M 'P 1'
_symmetry_Int_Tables_number 1
loop_
_symmetry_equiv_pos_as_xyz
'x,y,z'
loop_
_atom_site_label
_atom_site_type_symbol
_atom_site_fract_x
_atom_site_fract_y
_atom_site_fract_z
Tm1 Tm 0.000 0.000 0.000
Pu1 Pu 0.500 0.500 0.500
Pt1 Pt 0.750 0.750 0.750
Au1 Au 0.250 0.250 0.250
# - density of states at the Fermi level (states/eV/f.u.) = 12.68
# - E_form (eV/atom) = -0.775
# - space-group type = F-43m, No. 216


Entry 6:
# TmPuPtAu, relaxed, DFT GGA-PBE
data_TmPuPtAu
_cell_length_a 3.477
_cell_length_b 3.477
_cell_length_c 7.324
_cell_angle_alpha 90.00
_cell_angle_beta 90.00
_cell_angle_gamma 90.00
_symmetry_space_group_name_H-M 'P 1'
_symmetry_Int_Tables_number 1
loop_
_symmetry_equiv_pos_as_xyz
'x,y,z'
loop_
_atom_site_label
_atom_site_type_symbol
_atom_site_fract_x
_atom_site_fract_y
_atom_site_fract_z
Tm1 Tm 0.000 0.000 0.000
Pu1 Pu 0.000 0.000 0.525
Pt1 Pt 0.500 0.500 0.782
Au1 Au 0.500 0.500 0.240
# - density of states at the Fermi level (states/eV/f.u.) = 10.75
# - E_form (eV/atom) = -0.830
# - space-group type = P4mm, No. 99


The records above yield V values of 183.7 85.3 98.0 176.7 88.8 88.6 Å³/cell, respectively.